Entry 1:
Material: LaHoAlAu
Method: DFT, PBE-GGA
State: optimized geometry Values from VASP.

Results
* DFT formation energy: -0.5124 eV per atom
* crystal system: cubic
* density: 8.49 g/cm³

Quantum ESPRESSO input file:
```
&SYSTEM
  ibrav = 0, nat = 4, ntyp = 4
/
ATOMIC_SPECIES
La 138.91 La.upf
Ho 164.93 Ho.upf
Al 26.98 Al.upf
Au 196.97 Au.upf
ATOMIC_POSITIONS angstrom
La 0.0000 0.0000 0.0000
Ho -6.2785 -0.8559 -1.1983
Al -9.4178 -1.2839 -1.7974
Au -3.1393 -0.4280 -0.5991
CELL_PARAMETERS angstrom
-4.2673 2.0883 -2.2704
-3.5479 -3.1277 -2.3143
-4.7419 -0.6725 2.1882
```


Entry 2:
Material: LaHoAl2Au5
Method: DFT, PBE-GGA
State: optimized geometry Values from VASP.

Results
* DFT formation energy: -0.5888 eV per atom
* crystal system: tetragonal
* density: 11.56 g/cm³

Quantum ESPRESSO input file:
```
&SYSTEM
  ibrav = 0, nat = 9, ntyp = 4
/
ATOMIC_SPECIES
La 138.91 La.upf
Au 196.97 Au.upf
Ho 164.93 Ho.upf
Al 26.98 Al.upf
ATOMIC_POSITIONS angstrom
La 0.0000 0.0000 4.1939
Au 2.3977 0.0000 2.1141
Au 2.3977 0.0000 6.2736
Au 0.0000 2.3977 2.1141
Au 2.3977 2.3977 4.1939
Au 0.0000 2.3977 6.2736
Ho 0.0000 0.0000 0.0000
Al 2.3977 2.3977 1.2966
Al 2.3977 2.3977 7.0912
CELL_PARAMETERS angstrom
4.7953 0.0000 0.0000
0.0000 4.7953 0.0000
0.0000 0.0000 8.3878
```